# Y3In3Hg2Rh (GGA-PBE, relaxed)
# DOS(E_F): 0.573 states/eV per atom
data_Y3In3Hg2Rh
_cell_length_a 7.7048
_cell_length_b 7.7048
_cell_length_c 4.1633
_cell_angle_alpha 90.00
_cell_angle_beta 90.00
_cell_angle_gamma 120.00
_space_group_name_H-M_alt 'P -6 2 m'
_space_group_IT_number 189
_space_group_name_Hall 'P -6 -2'
loop_
_atom_site_label
_atom_site_fract_x
_atom_site_fract_y
_atom_site_fract_z
Y1 0.0000 0.3938 0.0000
In1 0.0000 0.7563 0.5000
Hg1 0.3333 0.6667 0.5000
Rh1 0.0000 0.0000 0.0000

=====

# YIn2HgRh (GGA-PBE, relaxed)
# DOS(E_F): 0.489 states/eV per atom
data_YIn2HgRh
_cell_length_a 5.156
_cell_length_b 5.156
_cell_length_c 5.214
_cell_angle_alpha 90.00
_cell_angle_beta 90.00
_cell_angle_gamma 90.00
_space_group_name_H-M_alt 'P 4/m m m'
_space_group_IT_number 123
_space_group_name_Hall '-P 4 2'
loop_
_atom_site_label
_atom_site_fract_x
_atom_site_fract_y
_atom_site_fract_z
Y1 0.000 0.000 0.000
In1 0.000 0.500 0.500
Hg1 0.500 0.500 0.000
Rh1 0.000 0.000 0.500

=====

# ZnIn2HgRh (GGA-PBE, relaxed)
# DOS(E_F): 0.458 states/eV per atom
data_ZnIn2HgRh
_cell_length_a 5.173
_cell_length_b 5.173
_cell_length_c 4.904
_cell_angle_alpha 90.00
_cell_angle_beta 90.00
_cell_angle_gamma 90.00
_space_group_name_H-M_alt 'P 4/m m m'
_space_group_IT_number 123
_space_group_name_Hall '-P 4 2'
loop_
_atom_site_label
_atom_site_fract_x
_atom_site_fract_y
_atom_site_fract_z
Zn1 0.000 0.000 0.000
In1 0.000 0.500 0.500
Hg1 0.500 0.500 0.000
Rh1 0.000 0.000 0.500

=====

# InHg2Ru (GGA-PBE, relaxed)
# DOS(E_F): 0.466 states/eV per atom
data_InHg2Ru
_cell_length_a 3.569
_cell_length_b 3.655
_cell_length_c 6.137
_cell_angle_alpha 90.00
_cell_angle_beta 90.00
_cell_angle_gamma 90.00
_space_group_name_H-M_alt 'P m m 2'
_space_group_IT_number 25
_space_group_name_Hall 'P 2 -2'
loop_
_atom_site_label
_atom_site_fract_x
_atom_site_fract_y
_atom_site_fract_z
In1 0.000 0.000 0.000
Hg1 0.000 0.000 0.460
Hg2 0.500 0.500 0.714
Ru1 0.500 0.500 0.199

=====

# InHg2Ru (GGA-PBE, relaxed)
# DOS(E_F): 0.700 states/eV per atom
data_InHg2Ru
_cell_length_a 10.481
_cell_length_b 3.368
_cell_length_c 5.048
_cell_angle_alpha 90.00
_cell_angle_beta 114.96
_cell_angle_gamma 90.00
_space_group_name_H-M_alt 'C 1 m 1'
_space_group_IT_number 8
_space_group_name_Hall 'C -2y'
loop_
_atom_site_label
_atom_site_fract_x
_atom_site_fract_y
_atom_site_fract_z
In1 0.000 0.000 0.000
Hg1 0.221 0.000 0.617
Hg2 0.451 0.000 0.454
Ru1 0.224 0.500 0.071

=====

# In2HgRu (GGA-PBE, relaxed)
# DOS(E_F): 0.561 states/eV per atom
data_In2HgRu
_cell_length_a 3.436
_cell_length_b 3.828
_cell_length_c 6.049
_cell_angle_alpha 90.00
_cell_angle_beta 90.07
_cell_angle_gamma 90.00
_space_group_name_H-M_alt 'P 1 2/m 1'
_space_group_IT_number 10
_space_group_name_Hall '-P 2y'
loop_
_atom_site_label
_atom_site_fract_x
_atom_site_fract_y
_atom_site_fract_z
In1 0.000 0.000 0.231
Hg1 0.500 0.500 0.500
Ru1 0.500 0.500 0.000

=====

Record order is preserved below.
ΔH_f (0 K): -56.6 -30.7 -8.7 31.2 31.4 17.8 kJ/mol of atoms